Record 1
{
  "formula": "CdRe2Ru",
  "functional": "SCAN",
  "state": "single point on PBEsol structure",
  "lattice": [[2.7429, 0.0000, 0.0000], [0.0000, 3.9094, 0.0000], [-0.0652, 0.0000, 5.7441]],
  "species": ["Cd", "Re", "Re", "Ru"],
  "fractional_positions": [[0.0000, 0.0000, 0.0000], [0.5261, 0.5000, 0.2873], [0.9597, 0.0000, 0.5027], [0.5008, 0.5000, 0.7356]],
  "magmom_total_mub_per_fu": 0.00,
  "mass_density_g_cm3": 15.795,
  "formation_enthalpy_0k_ev_per_atom": 0.39,
  "energy_ev_per_atom": -51.47,
  "n_ef_per_ev_atom": 0.825
}



Record 2
{
  "formula": "CdRe2RuSe",
  "functional": "SCAN",
  "state": "single point on PBEsol structure",
  "lattice": [[4.6126, 0.0000, 0.0000], [0.0000, 4.6126, 0.0000], [0.0000, 0.0000, 4.9730]],
  "species": ["Cd", "Re", "Re", "Ru", "Se"],
  "fractional_positions": [[0.0000, 0.0000, 0.0000], [0.0000, 0.5000, 0.5000], [0.5000, 0.0000, 0.5000], [0.0000, 0.0000, 0.5000], [0.5000, 0.5000, 0.0000]],
  "magmom_total_mub_per_fu": 0.00,
  "mass_density_g_cm3": 10.434,
  "raw_formation_energy_kj_per_mol_atoms": 177,
  "energy_ev_per_atom": -43.66,
  "n_ef_per_ev_atom": 0.999
}



Record 3
{
  "formula": "CdRe3S",
  "functional": "SCAN",
  "state": "single point on PBEsol structure",
  "lattice": [[4.7771, 0.0000, 0.0000], [0.0000, 4.7771, 0.0000], [0.0000, 0.0000, 4.7771]],
  "species": ["Cd", "Re", "Re", "Re", "S"],
  "fractional_positions": [[0.0000, 0.0000, 0.0000], [0.0000, 0.0000, 0.5000], [0.0000, 0.5000, 0.0000], [0.5000, 0.0000, 0.0000], [0.5000, 0.5000, 0.5000]],
  "magmom_total_mub_per_fu": 3.23,
  "mass_density_g_cm3": 10.709,
  "raw_formation_energy_kj_per_mol_atoms": 360,
  "energy_ev_per_atom": -46.93,
  "n_ef_per_ev_atom": 1.251
}



Record 4
{
  "formula": "CdRe2S",
  "functional": "SCAN",
  "state": "single point on PBEsol structure",
  "lattice": [[0.0000, 3.0858, 3.0858], [3.0858, 0.0000, 3.0858], [3.0858, 3.0858, 0.0000]],
  "species": ["Cd", "Re", "Re", "S"],
  "fractional_positions": [[0.0000, 0.0000, 0.0000], [0.2500, 0.2500, 0.2500], [0.7500, 0.7500, 0.7500], [0.5000, 0.5000, 0.5000]],
  "magmom_total_mub_per_fu": 0.00,
  "mass_density_g_cm3": 14.606,
  "raw_formation_energy_kj_per_mol_atoms": 117,
  "energy_ev_per_atom": -44.34,
  "n_ef_per_ev_atom": 0.541
}



Record 5
{
  "formula": "Tl2CdReS",
  "functional": "SCAN",
  "state": "single point on PBEsol structure",
  "lattice": [[5.5402, 0.0000, 0.0000], [0.0000, 5.5402, 0.0000], [0.0000, 0.0000, 4.7813]],
  "species": ["Tl", "Tl", "Cd", "Re", "S"],
  "fractional_positions": [[0.0000, 0.5000, 0.0000], [0.5000, 0.0000, 0.0000], [0.0000, 0.0000, 0.0000], [0.5000, 0.5000, 0.5000], [0.0000, 0.0000, 0.5000]],
  "magmom_total_mub_per_fu": 4.59,
  "mass_density_g_cm3": 8.367,
  "raw_formation_energy_kj_per_mol_atoms": 143,
  "energy_ev_per_atom": -49.69,
  "n_ef_per_ev_atom": 0.553
}



Record 6
{
  "formula": "CdRe2Sb",
  "functional": "SCAN",
  "state": "single point on PBEsol structure",
  "lattice": [[0.0000, 3.2640, 3.2640], [3.2640, 0.0000, 3.2640], [3.2640, 3.2640, 0.0000]],
  "species": ["Cd", "Re", "Re", "Sb"],
  "fractional_positions": [[0.0000, 0.0000, 0.0000], [0.5000, 0.5000, 0.5000], [0.7500, 0.7500, 0.7500], [0.2500, 0.2500, 0.2500]],
  "magmom_total_mub_per_fu": 0.67,
  "mass_density_g_cm3": 14.483,
  "e_above_lowest_polymorph_ev_per_atom": 0.701,
  "raw_formation_energy_kj_per_mol_atoms": 94,
  "energy_ev_per_atom": -51.50,
  "n_ef_per_ev_atom": 0.904
}